Entry from Alexandria: a relaxed Ba2SrPt2 crystal (GGA-PBE).

Unit cell a=8.554 b=8.554 c=4.472 alpha=90.00 beta=90.00 gamma=90.00
Space group P4/mbm (No. 127)
Symmetry-distinct sites (fractional):
Ba 0.153 0.347 0.000
Sr 0.000 0.000 0.500
Pt 0.148 0.648 0.500

Values from the calculation:
energy of formation from the pure elements = -63.49 kJ per mole of atoms
polymorph energy (0 for the lowest one) = 0.11 kcal/mol of atoms
DOS at the Fermi energy = 1.7 states/eV per cell

Entry from Alexandria: a relaxed K2Li2HfO4 crystal (GGA-PBE).

Unit cell a=12.142 b=3.301 c=6.358 alpha=90.00 beta=110.69 gamma=90.00
Space group C2/m (No. 12)
Symmetry-distinct sites (fractional):
K 0.140 0.000 0.062
Li 0.181 0.500 0.482
Hf 0.000 0.000 0.500
O 0.015 0.500 0.294
O 0.185 0.000 0.637

Values from the calculation:
raw formation energy = -20.55 eV per formula unit
DOS at the Fermi energy = 0.0 states/eV per cell

Look up the DOS at the Fermi energy of the second one.
0.0 states/eV per cell